Record 1
This record from the Alexandria database describes a relaxed structure of AcPd2Pt4. The functional is GGA-PBE.

- Energy of formation from the pure elements: 25 meV per atom
- Space group: I4/mmm, No. 139
- Electronic total energy: -5.498 eV/atom

Unit cell a=6.241 b=6.241 c=6.241 alpha=101.24 beta=101.24 gamma=127.59
Positions (direct):
Ac: 0.000 0.000 0.000
Pd: 0.250 0.750 0.500
Pd: 0.750 0.250 0.500
Pt: 0.723 0.500 0.223
Pt: 0.500 0.723 0.223
Pt: 0.500 0.277 0.777
Pt: 0.277 0.500 0.777

---

Record 2
This record from the Alexandria database describes a relaxed structure of AcThHgIr. The functional is GGA-PBE.

- Energy of formation from the pure elements: -622 meV per atom
- Space group: R3m, No. 160
- Electronic total energy: -5.795 eV/atom

Unit cell a=4.249 b=4.251 c=8.377 alpha=90.01 beta=104.69 gamma=120.01
Positions (direct):
Ac: 0.502 0.149 0.666
Th: 0.101 0.949 0.065
Hg: 0.957 0.377 0.350
Ir: 0.317 0.556 0.889

---

Record 3
This record from the Alexandria database describes a relaxed structure of NdEuInIr. The functional is GGA-PBE.

- Energy of formation from the pure elements: -354 meV per atom
- Space group: F-43m, No. 216
- Electronic total energy: -7.014 eV/atom

Unit cell a=5.223 b=5.223 c=5.223 alpha=60.00 beta=60.00 gamma=60.00
Positions (direct):
Eu: 0.750 0.750 0.750
Ir: 0.000 0.000 0.000
Nd: 0.250 0.250 0.250
In: 0.500 0.500 0.500

---

Record 4
This record from the Alexandria database describes a relaxed structure of BeFe2Os. The functional is GGA-PBE.

- Energy of formation from the pure elements: 55 meV per atom
- Space group: P4/mmm, No. 123
- Electronic total energy: -7.915 eV/atom

Unit cell a=3.924 b=3.412 c=3.412 alpha=90.00 beta=90.00 gamma=90.00
Positions (direct):
Be: 0.500 0.000 0.500
Os: 0.500 0.500 0.000
Fe: 0.000 0.000 0.000
Fe: 0.000 0.500 0.500

---

Record 5
This record from the Alexandria database describes a relaxed structure of ZrMn2Au. The functional is GGA-PBE.

- Energy of formation from the pure elements: 132 meV per atom
- Space group: C2/m, No. 12
- Electronic total energy: -7.409 eV/atom

Unit cell a=5.289 b=5.289 c=2.951 alpha=76.98 beta=76.98 gamma=114.77
Positions (direct):
Au: 0.000 0.500 0.500
Mn: 0.000 0.000 0.000
Mn: 0.500 0.500 0.000
Zr: 0.500 0.000 0.500

---

Record 6
This record from the Alexandria database describes a relaxed structure of Sr4LiPb12. The functional is GGA-PBE.

- Energy of formation from the pure elements: -328 meV per atom
- Space group: Im-3m, No. 229
- Electronic total energy: -3.454 eV/atom

Unit cell a=8.847 b=8.847 c=8.847 alpha=109.47 beta=109.47 gamma=109.47
Positions (direct):
Sr: 0.000 0.000 0.500
Sr: 0.500 0.000 0.000
Sr: 0.500 0.500 0.500
Sr: 0.000 0.500 0.000
Li: 0.000 0.000 0.000
Pb: 0.000 0.276 0.276
Pb: 0.000 0.724 0.724
Pb: 0.724 0.724 0.000
Pb: 0.276 0.276 0.000
Pb: 0.276 0.000 0.276
Pb: 0.724 0.000 0.724
Pb: 0.500 0.250 0.750
Pb: 0.500 0.750 0.250
Pb: 0.750 0.250 0.500
Pb: 0.250 0.750 0.500
Pb: 0.750 0.500 0.250
Pb: 0.250 0.500 0.750

---

Record 7
This record from the Alexandria database describes a relaxed structure of CaPa2N3. The functional is GGA-PBE.

- ΔE_f (raw): -7.7 eV per formula unit
- Space group: Cmcm, No. 63
- Electronic total energy: -8.945 eV/atom

Unit cell a=6.672 b=5.935 c=5.935 alpha=60.00 beta=90.00 gamma=90.00
Positions (direct):
Ca: 0.250 0.501 0.499
Ca: 0.750 0.499 0.501
Pa: 0.000 0.167 0.167
Pa: 0.500 0.167 0.167
Pa: 0.000 0.833 0.833
Pa: 0.500 0.833 0.833
N: 0.750 0.000 0.000
N: 0.750 0.000 0.500
N: 0.250 0.500 0.000
N: 0.750 0.500 0.000
N: 0.250 0.000 0.500
N: 0.250 0.000 0.000

---

Record 8
This record from the Alexandria database describes a relaxed structure of Ta2HgMo. The functional is GGA-PBE.

- Energy of formation from the pure elements: 353 meV per atom
- Space group: Cm, No. 8
- Electronic total energy: -8.357 eV/atom

Unit cell a=5.081 b=5.081 c=5.251 alpha=83.06 beta=83.06 gamma=32.77
Positions (direct):
Hg: 0.499 0.499 0.499
Mo: 0.754 0.754 0.757
Ta: 0.999 0.999 0.995
Ta: 0.247 0.247 0.248

---

Record 9
This record from the Alexandria database describes a relaxed structure of CsHf3Cl. The functional is GGA-PBE.

- ΔE_f (raw): 4.4 eV per formula unit
- Space group: Pm-3m, No. 221
- Electronic total energy: -5.625 eV/atom

Unit cell a=5.043 b=5.043 c=5.043 alpha=90.00 beta=90.00 gamma=90.00
Positions (direct):
Cs: 0.500 0.500 0.500
Hf: 0.000 0.500 0.000
Hf: 0.000 0.000 0.500
Hf: 0.500 0.000 0.000
Cl: 0.000 0.000 0.000

---

Record 10
This record from the Alexandria database describes a relaxed structure of Ho4CdIn3. The functional is GGA-PBE.

- Energy of formation from the pure elements: -424 meV per atom
- Space group: P4/mmm, No. 123
- Electronic total energy: -3.854 eV/atom

Unit cell a=3.742 b=3.742 c=14.962 alpha=90.00 beta=90.00 gamma=90.00
Positions (direct):
In: 0.500 0.500 0.247
In: 0.500 0.500 0.500
In: 0.500 0.500 0.753
Ho: 0.000 0.000 0.878
Ho: 0.000 0.000 0.122
Ho: 0.000 0.000 0.374
Ho: 0.000 0.000 0.626
Cd: 0.500 0.500 0.000

---

Record 11
This record from the Alexandria database describes a relaxed structure of PrSmBiTe. The functional is GGA-PBE.

- ΔE_f (raw): -3.9 eV per formula unit
- Space group: F-43m, No. 216
- Electronic total energy: -5.113 eV/atom

Unit cell a=5.563 b=5.563 c=5.563 alpha=60.00 beta=60.00 gamma=60.00
Positions (direct):
Pr: 0.500 0.500 0.500
Te: 0.750 0.750 0.750
Bi: 0.250 0.250 0.250
Sm: 0.000 0.000 0.000

---

Record 12
This record from the Alexandria database describes a relaxed structure of Tl3Fe. The functional is GGA-PBE.

- Energy of formation from the pure elements: 505 meV per atom
- Space group: P2/m, No. 10
- Electronic total energy: -3.385 eV/atom

Unit cell a=4.719 b=3.746 c=6.178 alpha=68.78 beta=90.00 gamma=90.00
Positions (direct):
Fe: 0.000 0.000 0.000
Tl: 0.500 0.861 0.777
Tl: 0.000 0.500 0.500
Tl: 0.500 0.139 0.223